No. 1
{"formula": "YNbS2Br", "functional": "PBE-GGA", "state": "optimized geometry", "formation_energy_uncorrected_ev_per_fu": -2.967, "sg": "No. 123", "lattice": [[4.7828, 0.0000, 0.0000], [0.0000, 4.7828, 0.0000], [0.0000, 0.0000, 5.1651]], "species": ["Y", "Nb", "S", "S", "Br"], "frac_coords": [[0.0000, 0.0000, 0.0000], [0.5000, 0.5000, 0.5000], [0.0000, 0.5000, 0.5000], [0.5000, 0.0000, 0.5000], [0.5000, 0.5000, 0.0000]]}

No. 2
{"formula": "Sr2CdCu2Pt5", "functional": "PBE-GGA", "state": "optimized geometry", "total_energy_ev_per_atom": -4.771, "sg": "No. 127", "lattice": [[9.6163, 0.0000, 0.0000], [0.0000, 9.6163, 0.0000], [0.0000, 0.0000, 4.0308]], "species": ["Sr", "Sr", "Sr", "Sr", "Cd", "Cd", "Cu", "Cu", "Cu", "Cu", "Pt", "Pt", "Pt", "Pt", "Pt", "Pt", "Pt", "Pt", "Pt", "Pt"], "frac_coords": [[0.1802, 0.3198, 0.0000], [0.3198, 0.8198, 0.0000], [0.6802, 0.1802, 0.0000], [0.8198, 0.6802, 0.0000], [0.0000, 0.0000, 0.0000], [0.5000, 0.5000, 0.0000], [0.1170, 0.6170, 0.0000], [0.3830, 0.1170, 0.0000], [0.6170, 0.8830, 0.0000], [0.8830, 0.3830, 0.0000], [0.0000, 0.5000, 0.5000], [0.0624, 0.7872, 0.5000], [0.2128, 0.0624, 0.5000], [0.2872, 0.5624, 0.5000], [0.4376, 0.2872, 0.5000], [0.5000, 0.0000, 0.5000], [0.5624, 0.7128, 0.5000], [0.7128, 0.4376, 0.5000], [0.7872, 0.9376, 0.5000], [0.9376, 0.2128, 0.5000]]}

No. 3
{"formula": "ScCu2Re", "functional": "PBE-GGA", "state": "optimized geometry", "total_energy_ev_per_atom": -6.612, "sg": "No. 25", "lattice": [[2.9331, 0.0000, 0.0000], [0.0000, 3.4753, 0.0000], [0.0000, 0.0000, 5.8667]], "species": ["Sc", "Cu", "Cu", "Re"], "frac_coords": [[0.0000, 0.0000, 0.0000], [0.0000, 0.0000, 0.4868], [0.5000, 0.5000, 0.2750], [0.5000, 0.5000, 0.7186]]}